Density functional theory data (PBE+U) for crystalline Mn2V3SnP6O24 at its relaxed geometry.

## Properties
SG: R3
Total magnetization in μB/atom: 0.42
Final energy in eV/atom: -7.4639

Lattice parameters (Å, degrees): 8.6972 8.6972 8.6972 59.88 59.88 59.88
With the nearest neighbours (Å) after each atom.
Element x y z (fractional)
P1 0.4539 0.7477 0.0448  4 O 1.52-1.56
P2 0.7477 0.0448 0.4539  4 O 1.52-1.56
P3 0.0448 0.4539 0.7477  4 O 1.52-1.56
P4 0.9578 0.5396 0.2526  4 O 1.53-1.58
P5 0.5396 0.2526 0.9578  4 O 1.53-1.58
P6 0.2526 0.9578 0.5396  4 O 1.53-1.58
O1 0.5615 0.4117 0.7622  1 P 1.56
O2 0.6916 0.8836 0.4972  1 P 1.52
O3 0.4341 0.5853 0.2385  1 P 1.56
O4 0.7359 0.0876 0.9459  1 P 1.58
O5 0.1141 0.5009 0.3141  1 P 1.53
O6 0.5853 0.2385 0.4341  1 P 1.56
O7 0.8836 0.4972 0.6916  1 P 1.52
O8 0.6103 0.8039 0.0185  1 P 1.54
O9 0.0605 0.2628 0.9132  1 P 1.56
O10 0.9459 0.7359 0.0876  1 P 1.58
O11 0.3859 0.1887 0.9952  1 P 1.53
O12 0.2385 0.4341 0.5853  1 P 1.56
O13 0.9132 0.0605 0.2628  1 P 1.56
O14 0.3141 0.1141 0.5009  1 P 1.53
O15 0.2628 0.9132 0.0605  1 P 1.56
O16 0.0876 0.9459 0.7359  1 P 1.58
O17 0.4972 0.6916 0.8836  1 P 1.52
O18 0.5009 0.3141 0.1141  1 P 1.53
O19 0.1887 0.9952 0.3859  1 P 1.53
O20 0.7622 0.5615 0.4117  1 P 1.56
O21 0.4117 0.7622 0.5615  1 P 1.56
O22 0.8039 0.0185 0.6103  1 P 1.54
O23 0.0185 0.6103 0.8039  1 P 1.54
O24 0.9952 0.3859 0.1887  1 P 1.53
Mn1 0.0031 0.0031 0.0031  6 O 2.22-2.30
Mn2 0.4992 0.4992 0.4992  6 O 2.28
V1 0.1442 0.1442 0.1442  6 O 1.96-2.06
V2 0.3553 0.3553 0.3553  6 O 1.94-2.04
V3 0.6431 0.6431 0.6431  6 O 1.96-2.06
Sn1 0.8555 0.8555 0.8555  6 O 2.01-2.11